A relaxed TiCrN2F crystal. Source: Alexandria, functional PBE with a Hubbard U.

Values from the calculation:
As for the total energy: -7.063 eV per atom. The value obtained for the spin magnetization is 3.0 μB per formula unit. Its energy above the most stable polymorph in this dataset is 0.355 eV/atom.

The structure in CIF format:
```
data_TiCrN2F
_space_group_name_H-M_alt 'P 4/m m m'
_space_group_IT_number 123
_space_group_name_Hall '-P 4 2'
_cell_length_a 3.876
_cell_length_b 3.876
_cell_length_c 3.683
_cell_angle_alpha 90.00
_cell_angle_beta 90.00
_cell_angle_gamma 90.00
loop_
_atom_site_label
_atom_site_fract_x
_atom_site_fract_y
_atom_site_fract_z
_atom_site_occupancy
Ti1 0.000 0.000 0.000 1
Cr1 0.500 0.500 0.500 1
N1 0.000 0.500 0.500 1
F1 0.500 0.500 0.000 1
```